# 1
Entry from the Alexandria database: crystalline LiLaRu2Pb at its relaxed geometry (PBE-GGA).

```
5
Lattice="-0.2155 -3.3714 -3.5240 3.1370 -3.9219 3.5602 -4.1948 -1.6711 1.8553" Properties=species:S:1:pos:R:3 pbc="T T T"
Pb 1.5685 -1.9609 1.7801
Ru -2.0974 -0.8355 0.9276
Ru -0.1078 -1.6857 -1.7620
Li -0.6367 -4.4822 0.9457
La 0.0000 0.0000 0.0000
```

Results
formation energy from the elements	601	kJ/mol of formula units

# 2
Entry from the Alexandria database: crystalline Pr13Dy2 at its relaxed geometry (PBE-GGA).

```
15
Lattice="6.8173 -0.1542 0.6641 -1.0715 9.1769 0.3993 0.3203 -4.0334 8.3211" Properties=species:S:1:pos:R:3 pbc="T T T"
Pr 4.1221 5.5469 0.9414
Pr 1.9440 -0.5576 8.4431
Pr 0.0000 0.0000 0.0000
Pr 2.2359 -2.2752 5.5270
Pr 3.8302 7.2644 3.8575
Pr 0.3331 2.0763 6.6666
Pr 5.7330 2.9130 2.7179
Pr 2.1894 3.8330 3.8809
Pr 3.8767 1.1563 5.5036
Pr 2.7812 4.1861 7.6090
Pr 3.2849 0.8031 1.7756
Pr 5.5423 -1.5403 7.1927
Pr 0.5237 6.5296 2.1918
Dy 5.5001 4.6065 5.6401
Dy 0.5659 0.3828 3.7444
```

Results
energy relative to the lowest polymorph listed for this composition	0	kJ/mol of formula units
formation energy from the elements	77	kJ/mol of formula units

# 3
Entry from the Alexandria database: crystalline UAg2Hg3Se6 at its relaxed geometry (PBE-GGA).

```
12
Lattice="-0.1374 -4.9426 4.9032 5.8433 3.6614 0.9691 -4.8690 4.8109 3.1195" Properties=species:S:1:pos:R:3 pbc="T T T"
U 0.0000 0.0000 0.0000
Ag 3.9479 0.9346 2.2159
Ag 1.7580 -2.2158 3.6564
Hg 2.3418 4.5318 3.2307
Hg -1.5049 -1.0021 5.7610
Hg 0.4184 1.7648 4.4959
Se 0.2817 5.9781 2.9809
Se 3.5881 -0.3899 4.6021
Se 0.5551 -2.4485 6.0108
Se -3.6706 0.2923 5.5808
Se -2.7512 3.9196 4.3896
Se 4.5075 3.2374 3.4110
```

Results
formation energy without anion corrections	-398	kJ/mol of formula units

Number 1: VASP energy -4.575 eV per atom, DOS at the Fermi energy 1.594 states/eV per atom, total moment 1.25 μB per formula unit. Number 2: VASP energy -4.703 eV per atom, DOS at the Fermi energy 1.491 states/eV per atom, total moment 0.00 μB per formula unit. Number 3: VASP energy -3.577 eV per atom, DOS at the Fermi energy 0.158 states/eV per atom, total moment 0.09 μB per formula unit.